(1)
Computed, not measured: a relaxed structure of UTlAsO5 at the GGA-PBE level of DFT.

abc: 6.265 6.265 8.009
angles: 97.70 97.70 107.10
Fractional positions:
U  0.000  0.000  0.000
U  0.000  0.000  0.500
Tl  0.342  0.658  0.750
Tl  0.658  0.342  0.250
As  0.314  0.686  0.250
As  0.686  0.314  0.750
O  0.076  0.924  0.750
O  0.109  0.697  0.376
O  0.183  0.307  0.027
O  0.303  0.891  0.124
O  0.307  0.183  0.527
O  0.693  0.817  0.473
O  0.697  0.109  0.876
O  0.817  0.693  0.973
O  0.891  0.303  0.624
O  0.924  0.076  0.250

Computed properties:
As for the formation energy without anion corrections: -2025 meV/atom. Its density of states at the Fermi level is 0.0 states/eV/f.u. The value obtained for the spin magnetization is 0.00 μB/atom. As for the space-group type: C2/c, No. 15.

---

(2)
Computed, not measured: a relaxed structure of Hg5Pt3 at the GGA-PBE level of DFT.

abc: 5.916 5.916 4.426
angles: 90.00 90.00 96.37
Fractional positions:
Hg  0.000  0.000  0.000
Hg  0.000  0.500  0.000
Hg  0.286  0.714  0.500
Hg  0.500  0.000  0.000
Hg  0.714  0.286  0.500
Pt  0.220  0.220  0.500
Pt  0.500  0.500  0.000
Pt  0.780  0.780  0.500

Computed properties:
As for the formation energy: 0.12 eV/atom. Its density of states at the Fermi level is 1.9 states/eV/f.u. The value obtained for the spin magnetization is 0.00 μB/atom. As for the space-group type: Cmmm, No. 65.

---

(3)
Computed, not measured: a relaxed structure of CaSn3Hg3 at the GGA-PBE level of DFT.

abc: 7.939 7.939 7.939
angles: 90.00 90.00 90.00
Fractional positions:
Ca  0.000  0.000  0.000
Ca  0.500  0.500  0.500
Sn  0.000  0.250  0.500
Sn  0.000  0.750  0.500
Sn  0.250  0.500  0.000
Sn  0.500  0.000  0.250
Sn  0.500  0.000  0.750
Sn  0.750  0.500  0.000
Hg  0.000  0.500  0.250
Hg  0.000  0.500  0.750
Hg  0.250  0.000  0.500
Hg  0.500  0.250  0.000
Hg  0.500  0.750  0.000
Hg  0.750  0.000  0.500

Computed properties:
As for the formation energy: 0.19 eV/atom. Its density of states at the Fermi level is 5.9 states/eV/f.u. The value obtained for the spin magnetization is 0.00 μB/atom. As for the space-group type: Pm-3n, No. 223.

---

(4)
Computed, not measured: a relaxed structure of SrTm3Bi2 at the GGA-PBE level of DFT.

abc: 10.151 10.151 10.529
angles: 120.67 120.67 26.50
Fractional positions:
Sr  0.126  0.126  0.149
Sr  0.874  0.874  0.851
Tm  0.050  0.050  0.695
Tm  0.315  0.315  0.097
Tm  0.403  0.403  0.485
Tm  0.597  0.597  0.515
Tm  0.685  0.685  0.903
Tm  0.950  0.950  0.305
Bi  0.221  0.221  0.717
Bi  0.492  0.492  0.154
Bi  0.508  0.508  0.846
Bi  0.779  0.779  0.283

Computed properties:
As for the formation energy: -0.44 eV/atom. Its density of states at the Fermi level is 6.4 states/eV/f.u. The value obtained for the spin magnetization is 0.09 μB/atom. As for the space-group type: C2/m, No. 12.

---

(5)
Computed, not measured: a relaxed structure of K2TlO at the GGA-PBE level of DFT.

abc: 5.444 5.444 5.444
angles: 60.00 60.00 60.00
Fractional positions:
K  0.250  0.250  0.250
K  0.750  0.750  0.750
Tl  0.000  0.000  0.000
O  0.500  0.500  0.500

Computed properties:
As for the formation energy without anion corrections: -98 meV/atom. Its density of states at the Fermi level is 2.2 states/eV/f.u. The value obtained for the spin magnetization is 0.00 μB/atom. As for the space-group type: Fm-3m, No. 225.

---

(6)
Computed, not measured: a relaxed structure of GaAg3N at the GGA-PBE level of DFT.

abc: 4.819 4.819 4.819
angles: 90.00 90.00 90.00
Fractional positions:
Ga  0.000  0.000  0.000
Ag  0.000  0.000  0.500
Ag  0.000  0.500  0.000
Ag  0.500  0.000  0.000
N  0.500  0.500  0.500

Computed properties:
As for the formation energy without anion corrections: 1617 meV/atom. Its density of states at the Fermi level is 4.2 states/eV/f.u. The value obtained for the spin magnetization is 0.00 μB/atom. As for the space-group type: Pm-3m, No. 221.

---

(7)
Computed, not measured: a relaxed structure of CsIn4Au6 at the GGA-PBE level of DFT.

abc: 7.105 7.116 7.127
angles: 114.37 117.13 96.28
Fractional positions:
Cs  0.000  0.000  0.000
In  0.182  0.173  0.654
In  0.383  0.669  0.789
In  0.518  0.525  0.350
In  0.890  0.609  0.229
Au  0.115  0.511  0.991
Au  0.397  0.893  0.504
Au  0.526  0.129  0.018
Au  0.601  0.360  0.683
Au  0.692  0.931  0.334
Au  0.910  0.411  0.504

Computed properties:
As for the formation energy: -0.20 eV/atom. Its density of states at the Fermi level is 4.0 states/eV/f.u. The value obtained for the spin magnetization is 0.00 μB/atom. As for the space-group type: P1, No. 1.

---

(8)
Computed, not measured: a relaxed structure of Nd3Er4Mg at the GGA-PBE level of DFT.

abc: 11.315 7.175 6.220
angles: 90.00 90.00 90.00
Fractional positions:
Nd  0.000  0.131  0.000
Nd  0.241  0.122  0.349
Nd  0.259  0.878  0.849
Nd  0.500  0.869  0.500
Nd  0.741  0.878  0.849
Nd  0.759  0.122  0.349
Er  0.000  0.386  0.527
Er  0.000  0.624  0.014
Er  0.245  0.622  0.352
Er  0.255  0.378  0.852
Er  0.500  0.376  0.514
Er  0.500  0.614  0.027
Er  0.745  0.378  0.852
Er  0.755  0.622  0.352
Mg  0.000  0.866  0.513
Mg  0.500  0.134  0.013

Computed properties:
As for the formation energy: 0.00 eV/atom. Its density of states at the Fermi level is 10.7 states/eV/f.u. The value obtained for the spin magnetization is 0.00 μB/atom. As for the space-group type: Pmn2_1, No. 31.